CoSnPb: relaxed, PBE.

abc: 6.366 6.366 6.366
angles: 90.00 90.00 90.00
Space group F-43m (No. 216)
Symmetry-distinct sites (fractional):
1 Co 0.000 0.000 0.000 (multiplicity 4)
2 Sn 0.250 0.250 0.250 (multiplicity 4)
3 Pb 0.250 0.250 0.750 (multiplicity 4)

Ta2Co2SnPb: relaxed, PBE.

abc: 10.393 4.240 10.403
angles: 90.00 109.50 90.00
Space group Pm (No. 6)
Symmetry-distinct sites (fractional):
1 Ta 0.000 0.000 0.000 (multiplicity 1)
2 Ta 0.123 0.500 0.369 (multiplicity 1)
3 Ta 0.250 0.000 0.746 (multiplicity 1)
4 Ta 0.375 0.500 0.121 (multiplicity 1)
5 Ta 0.498 0.000 0.494 (multiplicity 1)
6 Ta 0.625 0.500 0.875 (multiplicity 1)
7 Ta 0.752 0.000 0.245 (multiplicity 1)
8 Ta 0.877 0.500 0.619 (multiplicity 1)
9 Co 0.001 0.000 0.742 (multiplicity 1)
10 Co 0.123 0.500 0.124 (multiplicity 1)
11 Co 0.247 0.000 0.492 (multiplicity 1)
12 Co 0.378 0.500 0.875 (multiplicity 1)
13 Co 0.496 0.000 0.242 (multiplicity 1)
14 Co 0.624 0.500 0.620 (multiplicity 1)
15 Co 0.751 0.000 0.001 (multiplicity 1)
16 Co 0.878 0.500 0.370 (multiplicity 1)
17 Sn 0.000 0.000 0.495 (multiplicity 1)
18 Sn 0.249 0.000 0.246 (multiplicity 1)
19 Sn 0.500 0.000 0.997 (multiplicity 1)
20 Sn 0.875 0.500 0.121 (multiplicity 1)
21 Pb 0.125 0.500 0.872 (multiplicity 1)
22 Pb 0.374 0.500 0.621 (multiplicity 1)
23 Pb 0.626 0.500 0.370 (multiplicity 1)
24 Pb 0.751 0.000 0.747 (multiplicity 1)

TaCoPb2: relaxed, PBE.

abc: 6.944 6.944 6.944
angles: 90.00 90.00 90.00
Space group F-43m (No. 216)
Symmetry-distinct sites (fractional):
1 Ta 0.000 0.000 0.000 (multiplicity 4)
2 Co 0.250 0.250 0.750 (multiplicity 4)
3 Pb 0.000 0.000 0.500 (multiplicity 4)
4 Pb 0.250 0.250 0.250 (multiplicity 4)

TaCoTcPb: relaxed, PBE.

abc: 6.404 6.404 6.404
angles: 90.00 90.00 90.00
Space group F-43m (No. 216)
Symmetry-distinct sites (fractional):
1 Ta 0.000 0.000 0.000 (multiplicity 4)
2 Co 0.250 0.250 0.750 (multiplicity 4)
3 Tc 0.250 0.250 0.250 (multiplicity 4)
4 Pb 0.000 0.000 0.500 (multiplicity 4)

TaCoTcPb: relaxed, PBE.

abc: 6.469 6.469 6.469
angles: 90.00 90.00 90.00
Space group F-43m (No. 216)
Symmetry-distinct sites (fractional):
1 Ta 0.000 0.000 0.000 (multiplicity 4)
2 Co 0.000 0.000 0.500 (multiplicity 4)
3 Tc 0.250 0.250 0.750 (multiplicity 4)
4 Pb 0.250 0.250 0.250 (multiplicity 4)

YTaCoPb: relaxed, PBE.

abc: 6.901 6.901 6.901
angles: 90.00 90.00 90.00
Space group F-43m (No. 216)
Symmetry-distinct sites (fractional):
1 Y 0.000 0.000 0.000 (multiplicity 4)
2 Ta 0.250 0.250 0.250 (multiplicity 4)
3 Co 0.250 0.250 0.750 (multiplicity 4)
4 Pb 0.000 0.000 0.500 (multiplicity 4)

TbCo2Pb2: relaxed, PBE.

abc: 4.512 4.512 10.164
angles: 90.00 90.00 90.00
Space group I4/mmm (No. 139)
Symmetry-distinct sites (fractional):
1 Tb 0.000 0.000 0.000 (multiplicity 2)
2 Co 0.000 0.000 0.393 (multiplicity 4)
3 Pb 0.000 0.500 0.250 (multiplicity 4)

TbCo2Pb2: relaxed, PBE.

abc: 4.389 4.389 10.993
angles: 90.00 90.00 90.00
Space group I4/mmm (No. 139)
Symmetry-distinct sites (fractional):
1 Tb 0.000 0.000 0.000 (multiplicity 2)
2 Co 0.000 0.500 0.250 (multiplicity 4)
3 Pb 0.000 0.000 0.367 (multiplicity 4)

CoTc2Pb: relaxed, PBE.

abc: 6.295 6.295 6.295
angles: 90.00 90.00 90.00
Space group F-43m (No. 216)
Symmetry-distinct sites (fractional):
1 Co 0.000 0.000 0.000 (multiplicity 4)
2 Tc 0.000 0.000 0.500 (multiplicity 4)
3 Tc 0.250 0.250 0.250 (multiplicity 4)
4 Pb 0.250 0.250 0.750 (multiplicity 4)

CoTcPb: relaxed, PBE.

abc: 5.978 5.978 5.978
angles: 90.00 90.00 90.00
Space group F-43m (No. 216)
Symmetry-distinct sites (fractional):
1 Co 0.000 0.000 0.000 (multiplicity 4)
2 Tc 0.250 0.250 0.250 (multiplicity 4)
3 Pb 0.250 0.250 0.750 (multiplicity 4)

CoTcPb2: relaxed, PBE.

abc: 6.856 6.856 6.856
angles: 90.00 90.00 90.00
Space group F-43m (No. 216)
Symmetry-distinct sites (fractional):
1 Co 0.000 0.000 0.000 (multiplicity 4)
2 Tc 0.250 0.250 0.750 (multiplicity 4)
3 Pb 0.000 0.000 0.500 (multiplicity 4)
4 Pb 0.250 0.250 0.250 (multiplicity 4)

YCoTcPb: relaxed, PBE.

abc: 6.647 6.647 6.647
angles: 90.00 90.00 90.00
Space group F-43m (No. 216)
Symmetry-distinct sites (fractional):
1 Y 0.000 0.000 0.000 (multiplicity 4)
2 Co 0.250 0.250 0.250 (multiplicity 4)
3 Tc 0.250 0.250 0.750 (multiplicity 4)
4 Pb 0.000 0.000 0.500 (multiplicity 4)

DFT total energy
In order: -4.78, -7.69, -5.65, -7.99, -7.65, -6.72, -5.13, -5.11, -7.31, -6.49, -5.28, -6.67
Unit: eV per atom